Entry 1:
First-principles (GGA-PBE) data for a geometry-optimized AlCrFe structure, as listed in the Alexandria database.

a b c (Å): 2.785 2.785 9.109
angles (deg): 90.00 90.00 90.00
Space group I4mm (No. 107)
Unique sites:
Al 0.000 0.000 0.000
Cr 0.000 0.000 0.318
Fe 0.000 0.000 0.668

Calculated density ... 6.34 g cm⁻³
Formation energy ... -178 meV/atom
DOS(E_F) ... 2.7 states/eV/f.u.

=====

Entry 2:
First-principles (GGA-PBE) data for a geometry-optimized Tb3Pr4Y structure, as listed in the Alexandria database.

a b c (Å): 23.802 3.529 6.892
angles (deg): 90.00 106.63 90.00
Space group C2/m (No. 12)
Unique sites:
Tb 0.000 0.000 0.000
Tb 0.122 0.000 0.381
Pr 0.124 0.000 0.869
Pr 0.241 0.500 0.734
Y 0.000 0.500 0.500

Calculated density ... 6.76 g cm⁻³
Formation energy ... 157 meV/atom
DOS(E_F) ... 13.6 states/eV/f.u.